[1]
A plane-wave DFT calculation with PBEsol was carried out for a relaxed Ag3RuAu crystal.

```
Ag3RuAu
1.0
-4.307 -1.590 -1.798
2.206 -1.167 -4.252
0.945 -4.519 1.730
Ag Ru Au
3 1 1
Direct
0.000 0.500 0.000 Ag
0.500 0.000 0.000 Ag
0.000 0.000 0.500 Ag
0.500 0.500 0.500 Ru
0.000 0.000 0.000 Au
```

VASP energy = -3.19 eV per atom



[2]
A plane-wave DFT calculation with PBEsol was carried out for a relaxed MgRe2Ag crystal.

```
MgRe2Ag
1.0
3.095 0.000 0.000
0.000 4.248 0.000
0.000 0.000 4.714
Ag Re Mg
1 2 1
Direct
0.500 0.000 0.500 Ag
0.000 0.000 0.000 Re
0.500 0.500 0.000 Re
0.000 0.500 0.500 Mg
```

VASP energy = -7.52 eV per atom



[3]
A plane-wave DFT calculation with PBEsol was carried out for a relaxed YMgH3 crystal.

```
YMgH3
1.0
3.795 0.000 0.000
0.000 3.795 0.000
0.000 0.000 3.795
Y H Mg
1 3 1
Direct
0.500 0.500 0.500 Y
0.000 0.000 0.500 H
0.000 0.500 0.000 H
0.500 0.000 0.000 H
0.000 0.000 0.000 Mg
```

VASP energy = -3.76 eV per atom



[4]
A plane-wave DFT calculation with PBEsol was carried out for a relaxed Sc2CrP crystal.

```
Sc2CrP
1.0
-3.122 -1.126 1.065
-0.240 -2.865 1.971
-0.540 2.778 7.056
Cr Sc P
1 2 1
Direct
0.500 0.500 0.500 Cr
0.737 0.737 0.789 Sc
0.263 0.263 0.211 Sc
0.000 0.000 0.000 P
```

VASP energy = -7.55 eV per atom



[5]
A plane-wave DFT calculation with PBEsol was carried out for a relaxed Li3Co4O8 crystal.

```
Li3Co4O8
1.0
5.521 -0.027 -0.039
-2.648 4.934 -0.040
-2.648 -1.751 4.613
Li O Co
3 8 4
Direct
0.500 0.500 0.500 Li
0.500 0.500 0.000 Li
0.500 0.000 0.500 Li
0.500 0.768 0.232 O
0.973 0.229 0.229 O
0.000 0.771 0.229 O
0.500 0.232 0.768 O
0.027 0.771 0.771 O
0.539 0.780 0.780 O
0.000 0.229 0.771 O
0.461 0.220 0.220 O
0.000 0.500 0.000 Co
0.000 0.000 0.500 Co
0.000 0.000 0.000 Co
0.500 0.000 0.000 Co
```

Formation energy without anion corrections = -19.1 eV per formula unit
ΔE to the lowest computed polymorph = 0.150 eV per atom
VASP energy = -6.53 eV per atom



[6]
A plane-wave DFT calculation with PBEsol was carried out for a relaxed Sc2ReMo crystal.

```
Sc2ReMo
1.0
3.240 0.000 0.000
0.000 4.543 0.000
0.000 0.000 4.582
Sc Re Mo
2 1 1
Direct
0.000 0.000 0.000 Sc
0.500 0.000 0.500 Sc
0.000 0.500 0.500 Re
0.500 0.500 0.000 Mo
```

ΔE to the lowest computed polymorph = 0.201 eV per atom
VASP energy = -9.45 eV per atom



[7]
A plane-wave DFT calculation with PBEsol was carried out for a relaxed LaN crystal.

```
LaN
1.0
4.117 0.000 0.000
-2.058 3.565 0.000
0.000 0.000 5.797
N La
2 2
Direct
0.333 0.667 0.085 N
0.667 0.333 0.585 N
0.333 0.667 0.505 La
0.667 0.333 0.005 La
```

Formation energy without anion corrections = -2.8 eV per formula unit
VASP energy = -8.33 eV per atom



[8]
A plane-wave DFT calculation with PBEsol was carried out for a relaxed LaTlCl4 crystal.

```
LaTlCl4
1.0
-5.539 -1.793 0.511
-2.014 -4.281 -3.431
-1.172 -5.257 2.269
Cl Tl La
4 1 1
Direct
0.375 0.375 0.375 Cl
0.375 0.375 0.874 Cl
0.874 0.375 0.375 Cl
0.375 0.874 0.375 Cl
0.000 0.000 0.000 Tl
0.750 0.750 0.750 La
```

Formation energy without anion corrections = -4.4 eV per formula unit
VASP energy = -3.39 eV per atom



[9]
A plane-wave DFT calculation with PBEsol was carried out for a relaxed YZnFe2 crystal.

```
YZnFe2
1.0
-0.068 -2.001 2.310
1.467 -2.048 -1.731
5.818 2.323 2.182
Zn Y Fe
1 1 2
Direct
0.000 0.000 0.809 Zn
0.500 0.500 0.480 Y
0.500 0.500 0.021 Fe
0.000 0.000 0.190 Fe
```

VASP energy = -6.52 eV per atom



[10]
A plane-wave DFT calculation with PBEsol was carried out for a relaxed ScAgPt2 crystal.

```
ScAgPt2
1.0
-2.559 -2.463 1.497
2.771 -2.963 -0.138
1.238 0.984 3.738
Pt Ag Sc
2 1 1
Direct
0.000 0.000 0.500 Pt
0.000 0.500 0.000 Pt
0.500 0.000 0.000 Ag
0.500 0.500 0.500 Sc
```

VASP energy = -6.79 eV per atom



[11]
A plane-wave DFT calculation with PBEsol was carried out for a relaxed InSbAs crystal.

```
InSbAs
1.0
-1.889 2.895 -0.946
-2.916 -2.040 -0.422
1.003 0.443 6.146
As Sb In
1 1 1
Direct
0.980 0.980 0.961 As
0.363 0.363 0.726 Sb
0.657 0.657 0.314 In
```

Formation energy without anion corrections = 0.3 eV per formula unit
ΔE to the lowest computed polymorph = 0.071 eV per atom
VASP energy = -4.12 eV per atom



[12]
A plane-wave DFT calculation with PBEsol was carried out for a relaxed LiBiTe2N crystal.

```
LiBiTe2N
1.0
-2.918 2.271 0.908
-2.816 -4.236 1.542
1.930 0.510 4.925
Li N Te Bi
1 1 2 1
Direct
0.000 0.000 0.000 Li
0.500 0.000 0.000 N
0.000 0.500 0.000 Te
0.000 0.000 0.500 Te
0.500 0.500 0.500 Bi
```

Formation energy without anion corrections = 3.2 eV per formula unit
VASP energy = -3.74 eV per atom



[13]
A plane-wave DFT calculation with PBEsol was carried out for a relaxed Ta2TlHg crystal.

```
Ta2TlHg
1.0
3.003 0.000 0.000
1.501 2.600 0.000
1.501 0.867 10.295
Hg Tl Ta
1 1 2
Direct
0.255 0.255 0.235 Hg
0.497 0.497 0.509 Tl
0.001 0.001 0.997 Ta
0.747 0.747 0.759 Ta
```

VASP energy = -6.66 eV per atom



[14]
A plane-wave DFT calculation with PBEsol was carried out for a relaxed ScFeTc2 crystal.

```
ScFeTc2
1.0
2.727 0.000 -0.020
0.000 4.250 0.000
-0.945 0.000 4.965
Tc Sc Fe
2 1 1
Direct
0.730 0.500 0.237 Tc
0.993 0.000 0.022 Tc
0.241 0.500 0.739 Sc
0.536 0.000 0.502 Fe
```

ΔE to the lowest computed polymorph = 0.000 eV per atom
VASP energy = -9.45 eV per atom



[15]
A plane-wave DFT calculation with PBEsol was carried out for a relaxed CoC3 crystal.

```
CoC3
1.0
3.075 0.000 0.000
0.000 3.075 0.000
0.000 0.000 3.075
Co C
1 3
Direct
0.000 0.000 0.000 Co
0.000 0.500 0.500 C
0.500 0.000 0.500 C
0.500 0.500 0.000 C
```

ΔE to the lowest computed polymorph = 1.586 eV per atom
VASP energy = -6.33 eV per atom



[16]
A plane-wave DFT calculation with PBEsol was carried out for a relaxed Ga2HBr2 crystal.

```
Ga2HBr2
1.0
-4.800 -1.522 0.968
2.524 -3.026 -3.281
3.109 -0.195 4.073
H Br Ga
1 2 2
Direct
0.000 0.000 0.000 H
0.500 0.750 0.250 Br
0.500 0.250 0.750 Br
0.000 0.715 0.715 Ga
0.000 0.285 0.285 Ga
```

VASP energy = -2.98 eV per atom



[17]
A plane-wave DFT calculation with PBEsol was carried out for a relaxed Ta3PbI crystal.

```
Ta3PbI
1.0
5.138 0.000 0.000
0.000 5.138 0.000
0.000 0.000 5.138
I Ta Pb
1 3 1
Direct
0.500 0.500 0.500 I
0.500 0.000 0.000 Ta
0.000 0.500 0.000 Ta
0.000 0.000 0.500 Ta
0.000 0.000 0.000 Pb
```

Formation energy without anion corrections = 12.6 eV per formula unit
VASP energy = -6.17 eV per atom



[18]
A plane-wave DFT calculation with PBEsol was carried out for a relaxed BeCd2BiPb crystal.

```
BeCd2BiPb
1.0
4.744 0.000 0.000
0.000 4.744 0.000
0.000 0.000 5.325
Cd Pb Be Bi
2 1 1 1
Direct
0.000 0.500 0.000 Cd
0.500 0.000 0.000 Cd
0.000 0.000 0.500 Pb
0.000 0.000 0.000 Be
0.500 0.500 0.500 Bi
```

VASP energy = -2.59 eV per atom



[19]
A plane-wave DFT calculation with PBEsol was carried out for a relaxed BiF4 crystal.

```
BiF4
1.0
5.345 0.000 0.000
0.000 5.345 0.000
-2.673 -2.673 5.474
F Bi
8 2
Direct
0.876 0.346 0.222 F
0.654 0.124 0.778 F
0.124 0.124 0.778 F
0.346 0.876 0.222 F
0.124 0.654 0.778 F
0.654 0.654 0.778 F
0.346 0.346 0.222 F
0.876 0.876 0.222 F
0.000 0.000 0.000 Bi
0.500 0.500 0.000 Bi
```

Formation energy without anion corrections = -10.0 eV per formula unit
VASP energy = -4.40 eV per atom



[20]
A plane-wave DFT calculation with PBEsol was carried out for a relaxed Zr3HgAu crystal.

```
Zr3HgAu
1.0
-2.883 -3.705 -2.079
0.871 -2.974 4.094
-4.159 1.946 2.298
Zr Au Hg
3 1 1
Direct
0.000 0.500 0.000 Zr
0.000 0.000 0.500 Zr
0.500 0.000 0.000 Zr
0.500 0.500 0.500 Au
0.000 0.000 0.000 Hg
```

VASP energy = -5.31 eV per atom



[21]
A plane-wave DFT calculation with PBEsol was carried out for a relaxed Mg2AlAs crystal.

```
Mg2AlAs
1.0
-0.613 -0.751 -3.440
-3.859 -1.222 0.955
0.438 6.051 0.458
Mg Al As
2 1 1
Direct
0.751 0.251 0.501 Mg
0.959 0.959 0.918 Mg
0.554 0.554 0.108 Al
0.236 0.736 0.472 As
```

ΔE to the lowest computed polymorph = 0.000 eV per atom
VASP energy = -3.29 eV per atom



[22]
A plane-wave DFT calculation with PBEsol was carried out for a relaxed LiScO2 crystal.

```
LiScO2
1.0
3.663 0.000 0.000
1.831 3.172 0.000
1.831 1.057 2.991
O Li Sc
2 1 1
Direct
0.250 0.250 0.250 O
0.750 0.750 0.750 O
0.000 0.000 0.000 Li
0.500 0.500 0.500 Sc
```

Formation energy without anion corrections = -10.4 eV per formula unit
VASP energy = -7.36 eV per atom



[23]
A plane-wave DFT calculation with PBEsol was carried out for a relaxed TiSbO3 crystal.

```
TiSbO3
1.0
4.056 0.000 0.000
0.000 4.056 0.000
0.000 0.000 4.056
Ti Sb O
1 1 3
Direct
0.500 0.500 0.500 Ti
0.000 0.000 0.000 Sb
0.500 0.000 0.000 O
0.000 0.500 0.000 O
0.000 0.000 0.500 O
```

Formation energy without anion corrections = -4.2 eV per formula unit
VASP energy = -6.57 eV per atom



[24]
A plane-wave DFT calculation with PBEsol was carried out for a relaxed SrNiCl2 crystal.

```
SrNiCl2
1.0
3.972 0.000 0.000
0.000 4.039 0.000
0.000 -2.019 5.321
Cl Ni Sr
2 1 1
Direct
0.500 0.277 0.554 Cl
0.000 0.979 0.958 Cl
0.000 0.186 0.372 Ni
0.500 0.564 0.128 Sr
```

Formation energy without anion corrections = -4.8 eV per formula unit
ΔE to the lowest computed polymorph = 0.000 eV per atom
VASP energy = -4.21 eV per atom



[25]
A plane-wave DFT calculation with PBEsol was carried out for a relaxed Al2ZnIn crystal.

```
Al2ZnIn
1.0
2.926 0.000 0.000
0.000 3.956 0.000
0.000 0.000 6.303
Zn Al In
1 2 1
Direct
0.500 0.500 0.782 Zn
0.000 0.000 0.993 Al
0.500 0.500 0.218 Al
0.000 0.000 0.507 In
```

VASP energy = -3.07 eV per atom



[26]
A plane-wave DFT calculation with PBEsol was carried out for a relaxed LiMo2Cl crystal.

```
LiMo2Cl
1.0
-2.155 0.379 1.869
1.507 -3.644 2.477
2.836 2.984 2.664
Mo Li Cl
2 1 1
Direct
0.000 0.000 0.284 Mo
0.000 0.000 0.716 Mo
0.500 0.500 0.500 Li
0.500 0.500 0.000 Cl
```

Formation energy without anion corrections = 2.7 eV per formula unit
ΔE to the lowest computed polymorph = 0.587 eV per atom
VASP energy = -6.21 eV per atom



[27]
A plane-wave DFT calculation with PBEsol was carried out for a relaxed HoCo3P2 crystal.

```
HoCo3P2
1.0
3.629 0.000 0.000
0.000 10.363 0.000
0.000 0.000 12.000
Co Ho P
18 6 12
Direct
0.000 0.500 0.986 Co
0.000 0.000 0.841 Co
0.500 0.879 0.709 Co
0.000 0.798 0.569 Co
0.000 0.621 0.291 Co
0.000 0.202 0.569 Co
0.500 0.500 0.159 Co
0.000 0.000 0.297 Co
0.500 0.500 0.703 Co
0.500 0.298 0.431 Co
0.500 0.667 0.995 Co
0.000 0.379 0.291 Co
0.500 0.000 0.014 Co
0.500 0.121 0.709 Co
0.000 0.833 0.005 Co
0.500 0.702 0.431 Co
0.000 0.167 0.005 Co
0.500 0.333 0.995 Co
0.500 0.183 0.206 Ho
0.000 0.500 0.523 Ho
0.500 0.000 0.477 Ho
0.000 0.317 0.794 Ho
0.000 0.683 0.794 Ho
0.500 0.817 0.206 Ho
0.000 0.348 0.107 P
0.500 0.500 0.882 P
0.000 0.189 0.384 P
0.500 0.152 0.893 P
0.500 0.689 0.616 P
0.500 0.848 0.893 P
0.000 0.000 0.656 P
0.500 0.311 0.616 P
0.500 0.500 0.344 P
0.000 0.811 0.384 P
0.000 0.000 0.118 P
0.000 0.652 0.107 P
```

VASP energy = -7.66 eV per atom